Record 1
## Ta2AsCl (PBE)

Data for an optimized crystal structure of Ta2AsCl.

Geometry as POSCAR:
```
Ta2AsCl
1.0
2.8556 0.0000 0.0000
0.0000 4.4155 0.0000
0.0000 0.0000 5.8267
Ta As Cl
2 1 1
Direct
0.0000 0.0000 0.0000
0.5000 0.0000 0.5000
0.0000 0.5000 0.5000
0.5000 0.5000 0.0000
```

Properties
Density   10.7 Mg/m³
E_tot   -7.308 eV per atom
Density of states at the Fermi level   2.7 states/eV/cell
Calculated volume   18.4 Å³ per atom
ΔE to the lowest computed polymorph   0.667 eV per atom

=====

Record 2
## Ta2AsCl (PBE)

Data for an optimized crystal structure of Ta2AsCl.

Geometry as POSCAR:
```
Ta2AsCl
1.0
3.0616 0.0000 0.0000
-1.5308 2.6515 0.0000
0.0000 0.0000 31.0946
Ta As Cl
6 3 3
Direct
0.0000 0.0000 0.0000
0.0000 0.0000 0.2540
0.3333 0.6667 0.6667
0.3333 0.6667 0.9206
0.6667 0.3333 0.3333
0.6667 0.3333 0.5873
0.0000 0.0000 0.7347
0.3333 0.6667 0.4014
0.6667 0.3333 0.0680
0.0000 0.0000 0.5301
0.3333 0.6667 0.1968
0.6667 0.3333 0.8634
```

Properties
Density   9.3 Mg/m³
E_tot   -7.847 eV per atom
Density of states at the Fermi level   10.9 states/eV/cell
Calculated volume   21.0 Å³ per atom
ΔE to the lowest computed polymorph   0.128 eV per atom

=====

Record 3
## Ta2AsCl (PBE)

Data for an optimized crystal structure of Ta2AsCl.

Geometry as POSCAR:
```
Ta2AsCl
1.0
9.3457 0.0000 0.0000
0.0000 3.2272 0.0000
-1.6049 0.0000 4.7590
Ta As Cl
4 2 2
Direct
0.0000 0.0000 0.0000
0.2350 0.0000 0.6502
0.5000 0.5000 0.0000
0.7350 0.5000 0.6502
0.2313 0.5000 0.0769
0.7313 0.0000 0.0769
0.0120 0.5000 0.4117
0.5120 0.0000 0.4117
```

Properties
Density   10.9 Mg/m³
E_tot   -7.537 eV per atom
Density of states at the Fermi level   4.4 states/eV/cell
Calculated volume   17.9 Å³ per atom
ΔE to the lowest computed polymorph   0.438 eV per atom

=====

Record 4
## Ta2AsCl (PBE)

Data for an optimized crystal structure of Ta2AsCl.

Geometry as POSCAR:
```
Ta2AsCl
1.0
2.9217 0.0000 0.0000
0.0000 2.9217 0.0000
0.0000 0.0000 9.8870
Ta As Cl
2 1 1
Direct
0.0000 0.0000 0.0000
0.5000 0.5000 0.2266
0.0000 0.0000 0.4284
0.5000 0.5000 0.8254
```

Properties
Density   9.3 Mg/m³
E_tot   -7.771 eV per atom
Density of states at the Fermi level   1.7 states/eV/cell
Calculated volume   21.1 Å³ per atom
ΔE to the lowest computed polymorph   0.205 eV per atom

=====

Record 5
## Ta2AsCl (PBE)

Data for an optimized crystal structure of Ta2AsCl.

Geometry as POSCAR:
```
Ta2AsCl
1.0
3.1413 0.0000 0.0000
0.0000 4.5200 0.0000
0.0000 0.0000 9.8665
Ta As Cl
4 2 2
Direct
0.0000 0.0000 0.0000
0.0000 0.5000 0.2108
0.5000 0.0000 0.7108
0.5000 0.5000 0.5000
0.0000 0.5000 0.7180
0.5000 0.0000 0.2180
0.0000 0.0000 0.5040
0.5000 0.5000 0.0040
```

Properties
Density   11.2 Mg/m³
E_tot   -7.421 eV per atom
Density of states at the Fermi level   3.3 states/eV/cell
Calculated volume   17.5 Å³ per atom
ΔE to the lowest computed polymorph   0.555 eV per atom

=====

Record 6
## Ta2AsCl (PBE)

Data for an optimized crystal structure of Ta2AsCl.

Geometry as POSCAR:
```
Ta2AsCl
1.0
3.2670 0.0000 0.0000
0.0000 3.2670 0.0000
0.0000 0.0000 6.8081
Ta As Cl
2 1 1
Direct
0.0000 0.0000 0.1983
0.0000 0.0000 0.8017
0.5000 0.5000 0.0000
0.5000 0.5000 0.5000
```

Properties
Density   10.8 Mg/m³
E_tot   -7.452 eV per atom
Density of states at the Fermi level   2.7 states/eV/cell
Calculated volume   18.2 Å³ per atom
ΔE to the lowest computed polymorph   0.524 eV per atom

=====

Record 7
## Ta2AsCl (PBE)

Data for an optimized crystal structure of Ta2AsCl.

Geometry as POSCAR:
```
Ta2AsCl
1.0
6.8930 0.0000 0.0000
0.0000 6.8930 0.0000
0.0000 0.0000 6.1647
Ta As Cl
8 4 4
Direct
0.2166 0.2500 0.1250
0.2500 0.7166 0.3750
0.2500 0.7834 0.8750
0.2834 0.2500 0.6250
0.7166 0.7500 0.6250
0.7500 0.2166 0.8750
0.7500 0.2834 0.3750
0.7834 0.7500 0.1250
0.0000 0.0000 0.5000
0.0000 0.5000 0.7500
0.5000 0.0000 0.2500
0.5000 0.5000 0.0000
0.0000 0.0000 0.0000
0.0000 0.5000 0.2500
0.5000 0.0000 0.7500
0.5000 0.5000 0.5000
```

Properties
Density   10.7 Mg/m³
E_tot   -7.027 eV per atom
Density of states at the Fermi level   13.0 states/eV/cell
Calculated volume   18.3 Å³ per atom
ΔE to the lowest computed polymorph   0.949 eV per atom

=====

Record 8
## Ta2AsCl (PBE)

Data for an optimized crystal structure of Ta2AsCl.

Geometry as POSCAR:
```
Ta2AsCl
1.0
8.6653 0.0000 0.0000
0.0000 3.3151 0.0000
-3.5262 0.0000 6.2214
Ta As Cl
4 2 2
Direct
0.2263 0.0000 0.3435
0.2737 0.5000 0.6565
0.7263 0.5000 0.3435
0.7737 0.0000 0.6565
0.0000 0.0000 0.5000
0.5000 0.5000 0.5000
0.0000 0.5000 0.0000
0.5000 0.0000 0.0000
```

Properties
Density   8.8 Mg/m³
E_tot   -7.529 eV per atom
Density of states at the Fermi level   3.3 states/eV/cell
Calculated volume   22.3 Å³ per atom
ΔE to the lowest computed polymorph   0.447 eV per atom

=====

Record 9
## Ta2AsCl (PBE)

Data for an optimized crystal structure of Ta2AsCl.

Geometry as POSCAR:
```
Ta2AsCl
1.0
3.2065 0.0000 0.0000
0.0000 5.1992 0.0000
0.0000 0.0000 8.5803
Ta As Cl
4 2 2
Direct
0.0000 0.0000 0.2374
0.0000 0.0000 0.7626
0.5000 0.5000 0.2374
0.5000 0.5000 0.7626
0.0000 0.5000 0.0000
0.5000 0.0000 0.0000
0.0000 0.5000 0.5000
0.5000 0.0000 0.5000
```

Properties
Density   11.0 Mg/m³
E_tot   -7.344 eV per atom
Density of states at the Fermi level   7.2 states/eV/cell
Calculated volume   17.9 Å³ per atom
ΔE to the lowest computed polymorph   0.632 eV per atom

=====

Record 10
## Ta2AsCl (PBE)

Data for an optimized crystal structure of Ta2AsCl.

Geometry as POSCAR:
```
Ta2AsCl
1.0
4.0745 0.0000 0.0000
0.0000 4.0745 0.0000
0.0000 0.0000 8.4668
Ta As Cl
4 2 2
Direct
0.0000 0.0000 0.0000
0.0000 0.5000 0.2500
0.5000 0.0000 0.7500
0.5000 0.5000 0.5000
0.0000 0.5000 0.7500
0.5000 0.0000 0.2500
0.0000 0.0000 0.5000
0.5000 0.5000 0.0000
```

Properties
Density   11.2 Mg/m³
E_tot   -7.064 eV per atom
Density of states at the Fermi level   6.9 states/eV/cell
Calculated volume   17.6 Å³ per atom
ΔE to the lowest computed polymorph   0.912 eV per atom

=====

Record 11
## Ta2AsCl (PBE)

Data for an optimized crystal structure of Ta2AsCl.

Geometry as POSCAR:
```
Ta2AsCl
1.0
6.3988 0.0000 0.0000
0.0000 6.3988 0.0000
0.0000 0.0000 6.3988
Ta As Cl
8 4 4
Direct
0.2500 0.2500 0.2500
0.2500 0.2500 0.7500
0.2500 0.7500 0.2500
0.2500 0.7500 0.7500
0.7500 0.2500 0.2500
0.7500 0.2500 0.7500
0.7500 0.7500 0.2500
0.7500 0.7500 0.7500
0.0000 0.0000 0.0000
0.0000 0.5000 0.5000
0.5000 0.0000 0.5000
0.5000 0.5000 0.0000
0.0000 0.0000 0.5000
0.0000 0.5000 0.0000
0.5000 0.0000 0.0000
0.5000 0.5000 0.5000
```

Properties
Density   12.0 Mg/m³
E_tot   -7.378 eV per atom
Density of states at the Fermi level   17.1 states/eV/cell
Calculated volume   16.4 Å³ per atom
ΔE to the lowest computed polymorph   0.598 eV per atom

=====

Record 12
## TaAsCl3 (PBE)

Data for an optimized crystal structure of TaAsCl3.

Geometry as POSCAR:
```
TaAsCl3
1.0
4.9210 0.0000 0.0000
0.0000 4.9210 0.0000
0.0000 0.0000 4.9210
Ta As Cl
1 1 3
Direct
0.0000 0.0000 0.0000
0.5000 0.5000 0.5000
0.0000 0.0000 0.5000
0.0000 0.5000 0.0000
0.5000 0.0000 0.0000
```

Properties
Density   5.0 Mg/m³
E_tot   -4.413 eV per atom
Density of states at the Fermi level   2.5 states/eV/cell
Calculated volume   23.8 Å³ per atom
ΔE to the lowest computed polymorph   0.000 eV per atom

=====

Record 13
## TaAsCl3 (PBE)

Data for an optimized crystal structure of TaAsCl3.

Geometry as POSCAR:
```
TaAsCl3
1.0
5.0584 0.0000 0.0000
0.0000 5.0584 0.0000
0.0000 0.0000 5.0584
Ta As Cl
1 1 3
Direct
0.0000 0.0000 0.0000
0.5000 0.5000 0.5000
0.0000 0.5000 0.5000
0.5000 0.0000 0.5000
0.5000 0.5000 0.0000
```

Properties
Density   4.6 Mg/m³
E_tot   -3.485 eV per atom
Density of states at the Fermi level   7.1 states/eV/cell
Calculated volume   25.9 Å³ per atom
ΔE to the lowest computed polymorph   0.928 eV per atom

=====

Record 14
## Ta2AsCl (PBE)

Data for an optimized crystal structure of Ta2AsCl.

Geometry as POSCAR:
```
Ta2AsCl
1.0
3.5810 0.0000 0.0000
0.0000 4.7365 0.0000
0.0000 0.0000 9.9234
Ta As Cl
4 2 2
Direct
0.0000 0.0000 0.0000
0.0000 0.5000 0.2239
0.5000 0.0000 0.2239
0.5000 0.5000 0.0000
0.0000 0.0000 0.4214
0.5000 0.5000 0.4214
0.0000 0.5000 0.8127
0.5000 0.0000 0.8127
```

Properties
Density   9.3 Mg/m³
E_tot   -7.865 eV per atom
Density of states at the Fermi level   2.9 states/eV/cell
Calculated volume   21.0 Å³ per atom
ΔE to the lowest computed polymorph   0.110 eV per atom